A relaxed structure of Er3Mg2Tl, computed with PBE.

## Properties
Its formation enthalpy at 0 K is -0.162 eV per atom. As for the total energy: -3.3689 eV per atom. As for the space group: P4/mmm. As for the density of states at the Fermi level: 6.721 states/eV/cell. The total magnetization comes out at 0.00 μB per formula unit.

Unit cell a=3.7822 b=3.7822 c=11.1507 alpha=90.00 beta=90.00 gamma=90.00
Positions (direct):
Er  0.0000  0.0000  0.0000
Mg  0.5000  0.5000  0.8374
Tl  0.5000  0.5000  0.5000
Er  0.0000  0.0000  0.6692
Mg  0.5000  0.5000  0.1626
Er  0.0000  0.0000  0.3308